First-principles (PBE-GGA) data for a geometry-optimized Pm6Co2N structure, as listed in Alexandria.

## Properties
For the formation energy from raw total energies, the calculation gives -0.36 eV per atom. Its total energy is -0.22179 Ha/atom.

```
18
Lattice="6.484 0.000 0.000 0.000 7.041 0.000 -6.296 0.000 9.761" Properties=species:S:1:pos:R:3 pbc="T T T"
Pm -0.818 0.356 2.336
Pm -3.966 3.164 7.216
Pm 1.135 4.847 0.676
Pm -2.013 5.715 5.557
Pm 2.044 1.204 0.614
Pm -1.104 2.317 5.494
Pm 1.292 4.724 4.266
Pm -1.856 5.838 9.147
Pm 2.201 1.327 4.204
Pm -0.947 2.194 9.085
Pm 4.154 3.877 2.545
Pm 1.006 6.685 7.425
Co -2.841 0.695 7.431
Co 0.307 2.826 2.551
Co -0.119 4.216 7.210
Co 3.029 6.346 2.329
N 0.000 0.000 0.000
N -3.148 3.521 4.880
```